No. 1
Material: AlFeMo
Method: DFT, PBE
State: optimized geometry

Computed properties:
Its crystal system is hexagonal. The density of states at the Fermi level comes out at 1.05 states/eV/atom. Its total DFT energy (no corrections) is -7.770 eV per atom. For the energy above the most stable polymorph in this dataset, the calculation gives 11.7 kJ/mol of atoms. For the calculated formation energy, the calculation gives -0.3 eV per formula unit.

Unit cell a=7.2031 b=7.2031 c=2.7450 alpha=90.00 beta=90.00 gamma=120.00
Space group P-62m (No. 189)
Asymmetric unit:
Al1 0.0000 0.3701 0.0000 (multiplicity 3)
Fe1 0.0000 0.0000 0.0000 (multiplicity 1)
Fe2 0.3333 0.6667 0.5000 (multiplicity 2)
Mo1 0.0000 0.7011 0.5000 (multiplicity 3)

---

No. 2
Material: AlFeMo2
Method: DFT, PBE
State: optimized geometry

Computed properties:
Its crystal system is monoclinic. The density of states at the Fermi level comes out at 0.92 states/eV/atom. Its total DFT energy (no corrections) is -8.402 eV per atom. For the calculated formation energy, the calculation gives 0.3 eV per formula unit.

Unit cell a=9.075 b=2.654 c=4.900 alpha=90.00 beta=95.81 gamma=90.00
Space group Cm (No. 8)
Asymmetric unit:
Al1 0.000 0.000 0.000 (multiplicity 2)
Fe1 0.260 0.000 0.770 (multiplicity 2)
Mo1 0.012 0.500 0.512 (multiplicity 2)
Mo2 0.251 0.500 0.259 (multiplicity 2)

---

No. 3
Material: AlFeMo2
Method: DFT, PBE
State: optimized geometry

Computed properties:
Its crystal system is trigonal. The density of states at the Fermi level comes out at 1.07 states/eV/atom. Its total DFT energy (no corrections) is -8.318 eV per atom. For the calculated formation energy, the calculation gives 0.6 eV per formula unit.

Unit cell a=2.7696 b=2.7696 c=26.2779 alpha=90.00 beta=90.00 gamma=120.00
Space group R-3m (No. 166, hexagonal axes)
Asymmetric unit:
Al1 0.0000 0.0000 0.0000 (multiplicity 3)
Fe1 0.0000 0.0000 0.5000 (multiplicity 3)
Mo1 0.0000 0.0000 0.2456 (multiplicity 6)